(1)
First-principles (GGA-PBE) data for a relaxed structure of TeS3Cl, as listed in Alexandria via LeMat-Bulk.

a = 4.7562 Å, b = 7.5850 Å, c = 8.6652 Å
α = 90.47°, β = 96.43°, γ = 90.94°
Last column: nearest neighbours and their distance in Å.
Space group P1 (No. 1)
Inequivalent atoms, fractional coordinates:
Te  0.0000  0.0000  0.0000 x1  1 S 2.34, 1 Cl 2.59
Te  0.4240  0.9900  0.4835 x1  1 Cl 2.46, 3 S 2.51-2.76
S  0.2650  0.1524  0.2046 x1  1 Te 2.34
S  0.3272  0.1661  0.8043 x1  1 S 1.97
S  0.6471  0.2716  0.9408 x1  1 S 1.97
S  0.6595  0.7715  0.3242 x1  1 S 2.09
S  0.7174  0.7989  0.6859 x1  1 S 2.08
S  0.9527  0.7116  0.5131 x1  2 S 2.08-2.09
Cl  0.3138  0.7238  0.9960 x1  1 Te 2.59
Cl  0.7718  0.2356  0.4964 x1  1 Te 2.46

## Properties
The formation energy without anion corrections comes out at -0.006 eV per atom.

=====

(2)
First-principles (GGA-PBE) data for a relaxed structure of RbBaNi2Bi, as listed in Alexandria via LeMat-Bulk.

a = 5.2158 Å, b = 5.2158 Å, c = 6.1820 Å
α = 90.00°, β = 90.00°, γ = 90.00°
Last column: nearest neighbours and their distance in Å.
Space group P4/mmm (No. 123)
Inequivalent atoms, fractional coordinates:
Rb  0.0000  0.0000  0.0000 x1  2 Ba 3.09
Ba  0.0000  0.0000  0.5000 x1  4 Ni 2.61
Ni  0.0000  0.5000  0.5000 x2  2 Ba 2.61
Bi  0.5000  0.5000  0.0000 x1  4 Rb 3.69, 8 Ni 4.04

## Properties
The calculation puts the formation energy from the elements at 5.92 eV/f.u. As for the density of states at the Fermi level: 5.3 states/eV per cell.

=====

(3)
First-principles (GGA-PBE) data for a relaxed structure of Tb2SmBi, as listed in Alexandria via LeMat-Bulk.

a = 7.7981 Å, b = 7.7981 Å, c = 7.7981 Å
α = 90.00°, β = 90.00°, γ = 90.00°
Last column: nearest neighbours and their distance in Å.
Space group Fm-3m (No. 225)
Inequivalent atoms, fractional coordinates:
Tb  0.2500  0.2500  0.2500 x8  4 Bi 3.38, 4 Sm 3.38
Sm  0.0000  0.0000  0.0000 x4  8 Tb 3.38
Bi  0.0000  0.0000  0.5000 x4  8 Tb 3.38

## Properties
The calculation puts the formation energy from the elements at -0.70 eV/f.u. As for the density of states at the Fermi level: 19.8 states/eV per cell.

=====

(4)
First-principles (GGA-PBE) data for a relaxed structure of BaBeW3, as listed in Alexandria via LeMat-Bulk.

a = 4.5669 Å, b = 4.5669 Å, c = 4.5669 Å
α = 90.00°, β = 90.00°, γ = 90.00°
Last column: nearest neighbours and their distance in Å.
Space group Pm-3m (No. 221)
Inequivalent atoms, fractional coordinates:
Ba  0.0000  0.0000  0.0000 x1  12 W 3.23
Be  0.5000  0.5000  0.5000 x1  6 W 2.28
W  0.0000  0.5000  0.5000 x3  2 Be 2.28

## Properties
The calculation puts the formation energy from the elements at 8.30 eV/f.u. As for the density of states at the Fermi level: 8.0 states/eV per cell.

=====

Going through the records in order, we get relative energy among the computed polymorphs values of 0.000 0.597 0.271 0.000 eV/atom.
Going through the records in order, we get E values of -3.480 -2.483 -4.641 -7.241 eV/atom.